## A
# TcB3Cl, optimized geometry, DFT GGA-PBE
data_TcB3Cl
_space_group_name_H-M_alt 'P m -3 m'
_space_group_IT_number 221
_space_group_name_Hall '-P 4 2 3'
_cell_length_a 3.8066
_cell_length_b 3.8066
_cell_length_c 3.8066
_cell_angle_alpha 90.00
_cell_angle_beta 90.00
_cell_angle_gamma 90.00
loop_
_atom_site_label
_atom_site_fract_x
_atom_site_fract_y
_atom_site_fract_z
Tc1 0.0000 0.0000 0.0000
B1 0.0000 0.5000 0.5000
Cl1 0.5000 0.5000 0.5000
# magnetic moment = 0.301 μB/atom

=====

## B
# TcB3Cl, optimized geometry, DFT GGA-PBE
data_TcB3Cl
_space_group_name_H-M_alt 'P m -3 m'
_space_group_IT_number 221
_space_group_name_Hall '-P 4 2 3'
_cell_length_a 4.1999
_cell_length_b 4.1999
_cell_length_c 4.1999
_cell_angle_alpha 90.00
_cell_angle_beta 90.00
_cell_angle_gamma 90.00
loop_
_atom_site_label
_atom_site_fract_x
_atom_site_fract_y
_atom_site_fract_z
Tc1 0.0000 0.0000 0.0000
B1 0.0000 0.0000 0.5000
Cl1 0.5000 0.5000 0.5000
# magnetic moment = 0.000 μB/atom

=====

Q: Which of them is the most stable? A: B.